Density functional theory data (PBE) for a geometry-optimized K3MgGa structure.

Cell and atoms, written as CIF:
```
data_K3MgGa
_space_group_name_H-M_alt 'P 1'
_space_group_IT_number 1
_cell_length_a 6.5712
_cell_length_b 6.5712
_cell_length_c 6.5712
_cell_angle_alpha 90.00
_cell_angle_beta 90.00
_cell_angle_gamma 90.00
loop_
_space_group_symop_operation_xyz
'x,y,z'
loop_
_atom_site_label
_atom_site_type_symbol
_atom_site_fract_x
_atom_site_fract_y
_atom_site_fract_z
_atom_site_occupancy
K1 K 0.0000 0.0000 0.5000 1
K2 K 0.0000 0.5000 0.0000 1
K3 K 0.5000 0.0000 0.0000 1
Mg1 Mg 0.5000 0.5000 0.5000 1
Ga1 Ga 0.0000 0.0000 0.0000 1
```

Space-group type: Pm-3m, No. 221
Raw total energy, eV for the cell shown: -6.15
Volume, A^3/atom: 56.75
DOS at the Fermi energy, states/eV per atom: 0.7738
Crystal system: cubic
Total magnetic moment, μB per atom: 0.000